Material: Re2MoSe
Method: DFT, PBE
State: optimized geometry

The space group is Pm (No. 6) and the conventional cell measures 2.876, 4.041 and 5.535 Å, with angles of 90.00, 105.01 and 90.00 degrees. The inequivalent atoms are Re at (0.000, 0.000, 0.000), Re at (0.387, 0.500, 0.778), Mo at (0.748, 0.000, 0.502) and Se at (0.153, 0.500, 0.313).

The formation energy without anion corrections is 327.1 meV per atom. The calculated total energy comes out at -0.3482 Ha/atom.